# 1
This record from Alexandria describes an optimized crystal structure of Ho4ZnSe. The functional is PBE.

abc: 5.8843 6.4905 8.0339
angles: 90.00 91.50 90.00
Space group P2_1/m (No. 11)
Asymmetric unit:
Ho (0.1245, 0.2500, 0.0615) [2 per cell]
Ho (0.1252, 0.7500, 0.3465) [2 per cell]
Ho (0.3617, 0.5044, 0.7038) [4 per cell]
Zn (0.2248, 0.2500, 0.4061) [2 per cell]
Se (0.3630, 0.7500, 0.0296) [2 per cell]

electronic total energy = -52.966 eV for the cell shown

# 2
This record from Alexandria describes an optimized crystal structure of Ho4ZnSe3. The functional is PBE.

abc: 8.3523 11.5628 3.9757
angles: 90.00 90.00 90.00
Space group Cmmm (No. 65)
Asymmetric unit:
Ho (0.0000, 0.2448, 0.0000) [4 per cell]
Ho (0.2436, 0.0000, 0.5000) [4 per cell]
Zn (0.0000, 0.0000, 0.0000) [2 per cell]
Se (0.0000, 0.5000, 0.0000) [2 per cell]
Se (0.2500, 0.2500, 0.5000) [4 per cell]

electronic total energy = -82.219 eV for the cell shown

# 3
This record from Alexandria describes an optimized crystal structure of Ho2ZnSe. The functional is PBE.

abc: 3.8371 3.8371 23.1259
angles: 90.00 90.00 120.00
Space group R3m (No. 160, hexagonal axes)
Asymmetric unit:
Ho (0.0000, 0.0000, 0.0000) [3 per cell]
Ho (0.0000, 0.0000, 0.1659) [3 per cell]
Zn (0.0000, 0.0000, 0.5823) [3 per cell]
Se (0.0000, 0.0000, 0.7507) [3 per cell]

ΔE to the lowest computed polymorph = 0.55 eV/f.u.
electronic total energy = -52.667 eV for the cell shown

# 4
This record from Alexandria describes an optimized crystal structure of Ho3ZnSe2. The functional is PBE.

abc: 3.9502 5.7798 12.6305
angles: 90.00 90.00 90.00
Space group Immm (No. 71)
Asymmetric unit:
Ho (0.0000, 0.0000, 0.0000) [2 per cell]
Ho (0.0000, 0.0000, 0.3328) [4 per cell]
Zn (0.0000, 0.5000, 0.0000) [2 per cell]
Se (0.0000, 0.5000, 0.3324) [4 per cell]

electronic total energy = -59.115 eV for the cell shown